DFT (GGA-PBE) results for a relaxed Ho2MnCrN5 crystal.

Cell lengths 6.898, 6.898, 9.629 Å; angles 90.00, 90.00, 153.22 degrees
Sites, in units of the cell vectors:
Ho 0.121 0.879 0.500
Ho 0.136 0.864 0.142
Ho 0.864 0.136 0.642
Ho 0.879 0.121 0.000
Mn 0.208 0.792 0.853
Mn 0.792 0.208 0.353
Cr 0.440 0.560 0.273
Cr 0.560 0.440 0.773
N 0.050 0.950 0.864
N 0.292 0.708 0.487
N 0.312 0.688 0.213
N 0.349 0.651 0.833
N 0.498 0.502 0.115
N 0.502 0.498 0.615
N 0.651 0.349 0.333
N 0.688 0.312 0.713
N 0.708 0.292 0.987
N 0.950 0.050 0.364

Summary:
Uncorrected formation energy = -0.894 eV/atom
Space-group type = No. 36
E = -8.62 eV/atom